# RbNaSr2Cu | Alexandria via LeMat-Bulk | PBE | optimized geometry
# Total magnetic moment   0.00 μB/cell
# Offset from the most stable computed form   0.0 meV/atom
# V   46.6 Å³/atom
# Formation energy from the elements   0.120 eV per atom
data_RbNaSr2Cu
_space_group_name_H-M_alt 'P 1'
_space_group_IT_number 1
_cell_length_a 6.106
_cell_length_b 6.106
_cell_length_c 6.254
_cell_angle_alpha 90.00
_cell_angle_beta 90.00
_cell_angle_gamma 90.00
loop_
_space_group_symop_operation_xyz
'x,y,z'
loop_
_atom_site_label
_atom_site_type_symbol
_atom_site_fract_x
_atom_site_fract_y
_atom_site_fract_z
_atom_site_occupancy
Sr1 Sr 0.000 0.500 0.000 1
Sr2 Sr 0.500 0.000 0.000 1
Cu1 Cu 0.000 0.000 0.000 1
Rb1 Rb 0.500 0.500 0.500 1
Na1 Na 0.000 0.000 0.500 1